Below is Ba2LaTlSe4 after structural relaxation, with properties calculated at the PBE level.

Output
- Spin magnetization: 0.00 μB per formula unit
- Formation energy without anion corrections: -163.94 kJ per mole of atoms
- Volume: 34.5 A^3/atom
- Space group: P2/m, No. 10

Geometry as POSCAR:
```
Ba2LaTlSe4
1.0
4.6078 0.0000 0.0000
0.0000 7.8184 -0.1479
0.0000 2.7602 7.6018
Ba La Tl Se
2 1 1 4
direct
0.0000 0.0000 0.0000 Ba
0.5000 0.0000 0.5000 Ba
0.0000 0.5000 0.5000 La
0.5000 0.5000 0.0000 Tl
0.0000 0.7387 0.7292 Se
0.0000 0.2613 0.2708 Se
0.5000 0.7303 0.2712 Se
0.5000 0.2697 0.7288 Se
```